(1)
A plane-wave DFT calculation with meta-GGA SCAN was carried out for a crystal of AlGeSb2I relaxed with PBEsol.

Summary:
**D(E_F)**: 0.95 states/eV/atom
**E**: -0.9896 Ha/atom
**Size of the total moment**: 0.0 μB per formula unit

Cell and atoms, written as CIF:
```
data_AlGeSb2I
_cell_length_a 5.244
_cell_length_b 5.244
_cell_length_c 5.284
_cell_angle_alpha 90.00
_cell_angle_beta 90.00
_cell_angle_gamma 90.00
_symmetry_space_group_name_H-M 'P 4/m m m'
_symmetry_Int_Tables_number 123
_symmetry_space_group_name_Hall '-P 4 2'
loop_
_atom_site_label
_atom_site_type_symbol
_atom_site_fract_x
_atom_site_fract_y
_atom_site_fract_z
_atom_site_occupancy
Al1 Al 0.000 0.000 0.000 1
Ge1 Ge 0.500 0.500 0.500 1
Sb1 Sb 0.000 0.500 0.000 1
I1 I 0.000 0.000 0.500 1
```

---

(2)
A plane-wave DFT calculation with meta-GGA SCAN was carried out for a crystal of AlGeTeI2 relaxed with PBEsol.

Summary:
**D(E_F)**: 0.73 states/eV/atom
**E**: -1.0007 Ha/atom
**Size of the total moment**: 0.0 μB per formula unit

Cell and atoms, written as CIF:
```
data_AlGeTeI2
_cell_length_a 5.633
_cell_length_b 5.633
_cell_length_c 5.416
_cell_angle_alpha 90.00
_cell_angle_beta 90.00
_cell_angle_gamma 90.00
_symmetry_space_group_name_H-M 'P 4/m m m'
_symmetry_Int_Tables_number 123
_symmetry_space_group_name_Hall '-P 4 2'
loop_
_atom_site_label
_atom_site_type_symbol
_atom_site_fract_x
_atom_site_fract_y
_atom_site_fract_z
_atom_site_occupancy
Al1 Al 0.000 0.000 0.000 1
Ge1 Ge 0.500 0.500 0.500 1
Te1 Te 0.500 0.500 0.000 1
I1 I 0.000 0.500 0.500 1
```

---

(3)
A plane-wave DFT calculation with meta-GGA SCAN was carried out for a crystal of Al2InGe2 relaxed with PBEsol.

Summary:
**D(E_F)**: 0.27 states/eV/atom
**ΔH_f (0 K)**: 0.116 eV/atom
**Size of the total moment**: 0.0 μB per formula unit

Cell and atoms, written as CIF:
```
data_Al2InGe2
_cell_length_a 4.527
_cell_length_b 4.527
_cell_length_c 9.949
_cell_angle_alpha 90.00
_cell_angle_beta 90.00
_cell_angle_gamma 90.00
_symmetry_space_group_name_H-M 'I 4/m m m'
_symmetry_Int_Tables_number 139
_symmetry_space_group_name_Hall '-I 4 2'
loop_
_atom_site_label
_atom_site_type_symbol
_atom_site_fract_x
_atom_site_fract_y
_atom_site_fract_z
_atom_site_occupancy
Al1 Al 0.000 0.500 0.250 1
In1 In 0.000 0.000 0.000 1
Ge1 Ge 0.000 0.000 0.377 1
```

---

(4)
A plane-wave DFT calculation with meta-GGA SCAN was carried out for a crystal of AlIn2GeOs relaxed with PBEsol.

Summary:
**D(E_F)**: 0.52 states/eV/atom
**ΔH_f (0 K)**: 1.117 eV/atom
**Size of the total moment**: 0.0 μB per formula unit

Cell and atoms, written as CIF:
```
data_AlIn2GeOs
_cell_length_a 5.183
_cell_length_b 5.183
_cell_length_c 4.567
_cell_angle_alpha 90.00
_cell_angle_beta 90.00
_cell_angle_gamma 90.00
_symmetry_space_group_name_H-M 'P 4/m m m'
_symmetry_Int_Tables_number 123
_symmetry_space_group_name_Hall '-P 4 2'
loop_
_atom_site_label
_atom_site_type_symbol
_atom_site_fract_x
_atom_site_fract_y
_atom_site_fract_z
_atom_site_occupancy
Al1 Al 0.000 0.000 0.000 1
In1 In 0.000 0.500 0.500 1
Ge1 Ge 0.500 0.500 0.500 1
Os1 Os 0.500 0.500 0.000 1
```

---

(5)
A plane-wave DFT calculation with meta-GGA SCAN was carried out for a crystal of AlIn2GePb relaxed with PBEsol.

Summary:
**D(E_F)**: 0.70 states/eV/atom
**ΔH_f (0 K)**: 0.593 eV/atom
**Size of the total moment**: 0.0 μB per formula unit

Cell and atoms, written as CIF:
```
data_AlIn2GePb
_cell_length_a 5.193
_cell_length_b 5.193
_cell_length_c 5.313
_cell_angle_alpha 90.00
_cell_angle_beta 90.00
_cell_angle_gamma 90.00
_symmetry_space_group_name_H-M 'P 4/m m m'
_symmetry_Int_Tables_number 123
_symmetry_space_group_name_Hall '-P 4 2'
loop_
_atom_site_label
_atom_site_type_symbol
_atom_site_fract_x
_atom_site_fract_y
_atom_site_fract_z
_atom_site_occupancy
Al1 Al 0.000 0.000 0.000 1
In1 In 0.000 0.500 0.000 1
Ge1 Ge 0.500 0.500 0.500 1
Pb1 Pb 0.000 0.000 0.500 1
```

---

(6)
A plane-wave DFT calculation with meta-GGA SCAN was carried out for a crystal of AlInGeS2 relaxed with PBEsol.

Summary:
**D(E_F)**: 0.38 states/eV/atom
**E**: -0.5689 Ha/atom
**Size of the total moment**: 0.0 μB per formula unit

Cell and atoms, written as CIF:
```
data_AlInGeS2
_cell_length_a 4.785
_cell_length_b 4.785
_cell_length_c 5.143
_cell_angle_alpha 90.00
_cell_angle_beta 90.00
_cell_angle_gamma 90.00
_symmetry_space_group_name_H-M 'P 4/m m m'
_symmetry_Int_Tables_number 123
_symmetry_space_group_name_Hall '-P 4 2'
loop_
_atom_site_label
_atom_site_type_symbol
_atom_site_fract_x
_atom_site_fract_y
_atom_site_fract_z
_atom_site_occupancy
Al1 Al 0.000 0.000 0.000 1
In1 In 0.500 0.500 0.000 1
Ge1 Ge 0.500 0.500 0.500 1
S1 S 0.000 0.500 0.500 1
```

---

(7)
A plane-wave DFT calculation with meta-GGA SCAN was carried out for a crystal of AlInSi2Ge relaxed with PBEsol.

Summary:
**D(E_F)**: 0.51 states/eV/atom
**E**: -0.5594 Ha/atom
**Size of the total moment**: 0.0 μB per formula unit

Cell and atoms, written as CIF:
```
data_AlInSi2Ge
_cell_length_a 4.742
_cell_length_b 4.742
_cell_length_c 4.888
_cell_angle_alpha 90.00
_cell_angle_beta 90.00
_cell_angle_gamma 90.00
_symmetry_space_group_name_H-M 'P 4/m m m'
_symmetry_Int_Tables_number 123
_symmetry_space_group_name_Hall '-P 4 2'
loop_
_atom_site_label
_atom_site_type_symbol
_atom_site_fract_x
_atom_site_fract_y
_atom_site_fract_z
_atom_site_occupancy
Al1 Al 0.000 0.000 0.000 1
In1 In 0.500 0.500 0.500 1
Si1 Si 0.000 0.500 0.000 1
Ge1 Ge 0.000 0.000 0.500 1
```

---

(8)
A plane-wave DFT calculation with meta-GGA SCAN was carried out for a crystal of AlGeIr3 relaxed with PBEsol.

Summary:
**D(E_F)**: 1.09 states/eV/atom
**ΔH_f (0 K)**: 1.140 eV/atom
**Size of the total moment**: 0.0 μB per formula unit

Cell and atoms, written as CIF:
```
data_AlGeIr3
_cell_length_a 4.439
_cell_length_b 4.439
_cell_length_c 4.439
_cell_angle_alpha 90.00
_cell_angle_beta 90.00
_cell_angle_gamma 90.00
_symmetry_space_group_name_H-M 'P m -3 m'
_symmetry_Int_Tables_number 221
_symmetry_space_group_name_Hall '-P 4 2 3'
loop_
_atom_site_label
_atom_site_type_symbol
_atom_site_fract_x
_atom_site_fract_y
_atom_site_fract_z
_atom_site_occupancy
Al1 Al 0.000 0.000 0.000 1
Ge1 Ge 0.500 0.500 0.500 1
Ir1 Ir 0.000 0.000 0.500 1
```

---

(9)
A plane-wave DFT calculation with meta-GGA SCAN was carried out for a crystal of YAlGeIr2 relaxed with PBEsol.

Summary:
**D(E_F)**: 0.65 states/eV/atom
**ΔH_f (0 K)**: 0.116 eV/atom
**Size of the total moment**: 0.8 μB per formula unit

Cell and atoms, written as CIF:
```
data_YAlGeIr2
_cell_length_a 4.594
_cell_length_b 4.594
_cell_length_c 4.649
_cell_angle_alpha 90.00
_cell_angle_beta 90.00
_cell_angle_gamma 90.00
_symmetry_space_group_name_H-M 'P 4/m m m'
_symmetry_Int_Tables_number 123
_symmetry_space_group_name_Hall '-P 4 2'
loop_
_atom_site_label
_atom_site_type_symbol
_atom_site_fract_x
_atom_site_fract_y
_atom_site_fract_z
_atom_site_occupancy
Y1 Y 0.000 0.000 0.000 1
Al1 Al 0.500 0.500 0.000 1
Ge1 Ge 0.500 0.500 0.500 1
Ir1 Ir 0.000 0.500 0.500 1
```

---

(10)
A plane-wave DFT calculation with meta-GGA SCAN was carried out for a crystal of KAl2GeSe relaxed with PBEsol.

Summary:
**D(E_F)**: 0.38 states/eV/atom
**E**: -0.4530 Ha/atom
**Size of the total moment**: 0.0 μB per formula unit

Cell and atoms, written as CIF:
```
data_KAl2GeSe
_cell_length_a 4.822
_cell_length_b 4.822
_cell_length_c 5.845
_cell_angle_alpha 90.00
_cell_angle_beta 90.00
_cell_angle_gamma 90.00
_symmetry_space_group_name_H-M 'P 4/m m m'
_symmetry_Int_Tables_number 123
_symmetry_space_group_name_Hall '-P 4 2'
loop_
_atom_site_label
_atom_site_type_symbol
_atom_site_fract_x
_atom_site_fract_y
_atom_site_fract_z
_atom_site_occupancy
K1 K 0.000 0.000 0.000 1
Al1 Al 0.000 0.500 0.500 1
Ge1 Ge 0.000 0.000 0.500 1
Se1 Se 0.500 0.500 0.000 1
```

---

(11)
A plane-wave DFT calculation with meta-GGA SCAN was carried out for a crystal of La2AlGe relaxed with PBEsol.

Summary:
**D(E_F)**: 0.70 states/eV/atom
**ΔH_f (0 K)**: -0.736 eV/atom
**Size of the total moment**: 0.8 μB per formula unit

Cell and atoms, written as CIF:
```
data_La2AlGe
_cell_length_a 4.118
_cell_length_b 4.521
_cell_length_c 11.511
_cell_angle_alpha 90.00
_cell_angle_beta 90.00
_cell_angle_gamma 90.00
_symmetry_space_group_name_H-M 'A m m 2'
_symmetry_Int_Tables_number 38
loop_
_symmetry_equiv_pos_as_xyz
'x,y,z'
'-x,-y,z'
'-x,y,z'
'x,-y,z'
'x,y+1/2,z+1/2'
'-x,-y+1/2,z+1/2'
'-x,y+1/2,z+1/2'
'x,-y+1/2,z+1/2'
loop_
_atom_site_label
_atom_site_type_symbol
_atom_site_fract_x
_atom_site_fract_y
_atom_site_fract_z
_atom_site_occupancy
La1 La 0.000 0.000 0.000 1
La2 La 0.500 0.000 0.288 1
Al1 Al 0.500 0.000 0.579 1
Ge1 Ge 0.000 0.000 0.716 1
```

---

(12)
A plane-wave DFT calculation with meta-GGA SCAN was carried out for a crystal of La2Al3Ge relaxed with PBEsol.

Summary:
**D(E_F)**: 0.43 states/eV/atom
**ΔH_f (0 K)**: -0.651 eV/atom
**Size of the total moment**: 0.0 μB per formula unit

Cell and atoms, written as CIF:
```
data_La2Al3Ge
_cell_length_a 4.3578
_cell_length_b 4.3578
_cell_length_c 8.6669
_cell_angle_alpha 90.00
_cell_angle_beta 90.00
_cell_angle_gamma 120.00
_symmetry_space_group_name_H-M 'P -6 m 2'
_symmetry_Int_Tables_number 187
_symmetry_space_group_name_Hall 'P -6 2'
loop_
_atom_site_label
_atom_site_type_symbol
_atom_site_fract_x
_atom_site_fract_y
_atom_site_fract_z
_atom_site_occupancy
La1 La 0.0000 0.0000 0.2487 1
Al1 Al 0.3333 0.6667 0.0000 1
Al2 Al 0.3333 0.6667 0.5000 1
Al3 Al 0.6667 0.3333 0.5000 1
Ge1 Ge 0.6667 0.3333 0.0000 1
```

---

- Look up the D(E_F) of the seventh one.
  0.51 states/eV/atom

---

- Look up the D(E_F) of the third one.
  0.27 states/eV/atom